Below is a geometry-optimized K2MoF5 structure, with properties calculated at the GGA+U level.

abc: 6.1460 6.9708 8.2510
angles: 107.27 90.00 116.16
Site moments in Bohr magnetons follow the coordinates.
Sites, in units of the cell vectors:
F: 0.9081 0.0000 0.7500  0.02
F: 0.6410 0.7411 0.9592  0.03
F: 0.3590 0.2589 0.0408  0.03
F: 0.6375 0.7437 0.4117  0.02
F: 0.3625 0.2563 0.5883  0.02
F: 0.1001 0.7411 0.4592  0.03
F: 0.8999 0.2589 0.5408  0.03
F: 0.8938 0.2563 0.0883  0.02
F: 0.1062 0.7437 0.9117  0.02
F: 0.0919 0.0000 0.2500  0.02
Mo: 0.0000 0.0000 0.5000  2.78
Mo: 0.0000 0.0000 0.0000  2.78
K: 0.3489 0.6529 0.6629  0.00
K: 0.3039 0.6529 0.1629  0.00
K: 0.6511 0.3471 0.3371  0.00
K: 0.6961 0.3471 0.8371  0.00

Output
The total DFT energy (no corrections) comes out at -5.10 eV per atom. The crystal system is monoclinic. For the relative energy among the computed polymorphs, the calculation gives 0.0 meV/atom. Its space-group type is C2/c (15). Its total magnetization is 3.00 μB per formula unit.